A relaxed K3Ce3TeSe8 crystal. Source: Alexandria, functional PBE.

Lattice parameters (Å, degrees): 8.6389 8.6385 9.2167 117.94 90.00 120.00
Last column: nearest neighbours and their distance in Å.
Sites, in units of the cell vectors:
K 0.0000 0.0000 0.0000  6 Se 3.36-3.37
K 0.0000 0.5000 0.0000  6 Se 3.36-3.37
K 0.5000 0.5000 0.0000  6 Se 3.36-3.37
Ce 0.5000 0.0000 0.5000  6 Se 2.97
Ce 0.5000 0.5000 0.5000  6 Se 2.97-2.98
Ce 0.0000 0.5000 0.5000  6 Se 2.97-2.98
Te 0.0000 0.0000 0.5000  6 Se 2.88
Se 0.2638 0.5276 0.2913  3 Ce 2.97
Se 0.7362 0.4724 0.7087  3 Ce 2.97
Se 0.7713 0.5426 0.2984  1 Te 2.88, 2 Ce 2.98
Se 0.2287 0.4574 0.7016  1 Te 2.88, 2 Ce 2.98
Se 0.7710 0.0272 0.2984  1 Te 2.88, 2 Ce 2.97-2.98
Se 0.2290 0.9728 0.7016  1 Te 2.88, 2 Ce 2.97-2.98
Se 0.2562 0.0272 0.2983  1 Te 2.88, 2 Ce 2.97-2.98
Se 0.7438 0.9728 0.7017  1 Te 2.88, 2 Ce 2.97-2.98

For the uncorrected formation energy, the calculation gives -1.35 eV per atom. Its symmetry is R-3m (166).